[1]
Computed, not measured: a geometry-optimized TmZnPd5 structure at the GGA-PBE level of DFT.

Computed properties:
DOS at the Fermi energy = 0.433 states/eV/atom
ΔE to the lowest computed polymorph = 5.70 kcal/mol of atoms
formation energy from the elements = -32.2 kJ per mole of atoms

```
data_TmZnPd5
_chemical_formula_sum 'Tm4 Zn4 Pd20'
_cell_length_a 11.2837
_cell_length_b 7.2514
_cell_length_c 7.2345
_cell_angle_alpha 90.00
_cell_angle_beta 117.79
_cell_angle_gamma 90.00
_symmetry_space_group_name_H-M 'C 1 2/c 1'
_symmetry_Int_Tables_number 15
_symmetry_space_group_name_Hall '-C 2yc'
loop_
_atom_site_label
_atom_site_fract_x
_atom_site_fract_y
_atom_site_fract_z
Tm1 0.0000 0.0606 0.2500
Zn1 0.2500 0.2500 0.0000
Pd1 0.0000 0.3072 0.7500
Pd2 0.1018 0.3787 0.1650
Pd3 0.1658 0.2757 0.5814
```

---

[2]
Computed, not measured: a geometry-optimized Ce2ZnHgRu structure at the GGA-PBE level of DFT.

Computed properties:
DOS at the Fermi energy = 1.741 states/eV/atom
formation energy from the elements = -33.3 kJ per mole of atoms

```
data_Ce2ZnHgRu
_chemical_formula_sum 'Ce4 Zn2 Hg2 Ru2'
_cell_length_a 8.0097
_cell_length_b 3.9228
_cell_length_c 8.0693
_cell_angle_alpha 90.00
_cell_angle_beta 111.60
_cell_angle_gamma 90.00
_symmetry_space_group_name_H-M 'P 1 21/m 1'
_symmetry_Int_Tables_number 11
_symmetry_space_group_name_Hall '-P 2yb'
loop_
_atom_site_label
_atom_site_fract_x
_atom_site_fract_y
_atom_site_fract_z
Ce1 0.0005 0.2500 0.2874
Ce2 0.3479 0.2500 0.1120
Zn1 0.3674 0.7500 0.4455
Hg1 0.3127 0.2500 0.6892
Ru1 0.1186 0.7500 0.1283
```

---

[3]
Computed, not measured: a geometry-optimized LiLaC2O6 structure at the GGA-PBE level of DFT.

Computed properties:
energy relative to the elements, uncorrected = -2.12 eV per atom
DOS at the Fermi energy = 0.000 states/eV/atom
ΔE to the lowest computed polymorph = 1.25 kcal/mol of atoms

```
data_LiLaC2O6
_chemical_formula_sum 'Li3 La3 C6 O18'
_cell_length_a 4.9717
_cell_length_b 4.9717
_cell_length_c 16.5637
_cell_angle_alpha 90.00
_cell_angle_beta 90.00
_cell_angle_gamma 120.00
_symmetry_space_group_name_H-M 'R -3'
_symmetry_Int_Tables_number 148
_symmetry_space_group_name_Hall '-R 3'
loop_
_atom_site_label
_atom_site_fract_x
_atom_site_fract_y
_atom_site_fract_z
Li1 0.0000 0.0000 0.0000
La1 0.0000 0.0000 0.5000
C1 0.0000 0.0000 0.2548
O1 0.0440 0.2804 0.7467
```

---

[4]
Computed, not measured: a geometry-optimized AcCePrZn structure at the GGA-PBE level of DFT.

Computed properties:
DOS at the Fermi energy = 2.613 states/eV/atom
formation energy from the elements = 18.2 kJ per mole of atoms

```
data_AcCePrZn
_chemical_formula_sum 'Ac4 Ce4 Pr4 Zn4'
_cell_length_a 7.9141
_cell_length_b 7.9141
_cell_length_c 7.9141
_cell_angle_alpha 90.00
_cell_angle_beta 90.00
_cell_angle_gamma 90.00
_symmetry_space_group_name_H-M 'F -4 3 m'
_symmetry_Int_Tables_number 216
_symmetry_space_group_name_Hall 'F -4 2 3'
loop_
_atom_site_label
_atom_site_fract_x
_atom_site_fract_y
_atom_site_fract_z
Ac1 0.0000 0.0000 0.0000
Ce1 0.2500 0.2500 0.2500
Pr1 0.2500 0.2500 0.7500
Zn1 0.0000 0.0000 0.5000
```

---

[5]
Computed, not measured: a geometry-optimized FeHgI5 structure at the GGA-PBE level of DFT.

Computed properties:
energy relative to the elements, uncorrected = -0.18 eV per atom

```
data_FeHgI5
_chemical_formula_sum 'Fe4 Hg4 I20'
_cell_length_a 12.2809
_cell_length_b 8.3068
_cell_length_c 14.0441
_cell_angle_alpha 90.00
_cell_angle_beta 90.00
_cell_angle_gamma 90.00
_symmetry_space_group_name_H-M 'P n m a'
_symmetry_Int_Tables_number 62
_symmetry_space_group_name_Hall '-P 2ac 2n'
loop_
_atom_site_label
_atom_site_fract_x
_atom_site_fract_y
_atom_site_fract_z
Fe1 0.1046 0.2500 0.1206
Hg1 0.2302 0.7500 0.1245
I1 0.0761 0.2500 0.5375
I2 0.0941 0.7500 0.9309
I3 0.1296 0.0044 0.2349
I4 0.2398 0.2500 0.9890
```

---

[6]
Computed, not measured: a geometry-optimized AgOsPb structure at the GGA-PBE level of DFT.

Computed properties:
DOS at the Fermi energy = 1.241 states/eV/atom
ΔE to the lowest computed polymorph = 0.00 kcal/mol of atoms
formation energy from the elements = 88.1 kJ per mole of atoms

```
data_AgOsPb
_chemical_formula_sum 'Ag4 Os4 Pb4'
_cell_length_a 6.4009
_cell_length_b 6.4009
_cell_length_c 6.4009
_cell_angle_alpha 90.00
_cell_angle_beta 90.00
_cell_angle_gamma 90.00
_symmetry_space_group_name_H-M 'F -4 3 m'
_symmetry_Int_Tables_number 216
_symmetry_space_group_name_Hall 'F -4 2 3'
loop_
_atom_site_label
_atom_site_fract_x
_atom_site_fract_y
_atom_site_fract_z
Ag1 0.0000 0.0000 0.0000
Os1 0.2500 0.2500 0.2500
Pb1 0.0000 0.0000 0.5000
```

---

no.,total energy (eV/cell),M_tot (μB/atom)
1,-136.18,0.000
2,-48.89,0.137
3,-228.77,0.000
4,-61.37,0.319
5,-71.22,0.711
6,-60.20,0.000